Here is a relaxed structure of Ce2TeAs from Alexandria. Energies are from PBE.

Geometry as CIF:
```
data_Ce2TeAs
_space_group_name_H-M_alt 'P m m n'
_space_group_IT_number 59
_cell_length_a 4.317
_cell_length_b 6.183
_cell_length_c 8.801
_cell_angle_alpha 90.00
_cell_angle_beta 90.00
_cell_angle_gamma 90.00
loop_
_space_group_symop_operation_xyz
'x,y,z'
'-x,-y,-z'
'-x+1/2,-y+1/2,z'
'x+1/2,y+1/2,-z'
'x+1/2,-y,-z'
'-x+1/2,y,z'
'-x,y+1/2,-z'
'x,-y+1/2,z'
loop_
_atom_site_label
_atom_site_fract_x
_atom_site_fract_y
_atom_site_fract_z
Ce1 0.250 0.250 0.109
Ce2 0.250 0.250 0.647
Te1 0.250 0.750 0.622
As1 0.250 0.750 0.123
```

Calculated values
energy relative to the lowest polymorph listed for this composition	0.068	eV per formula unit
density of states at the Fermi level	26.9	states/eV/cell
formation energy without anion corrections	-32.404	kcal/mol of atoms
theoretical density	6.8	g cm⁻³